1.
DFT (PBE) results for a geometry-optimized SrAlZn2Co structure.

Unit cell a=4.732 b=4.732 c=4.535 alpha=90.00 beta=90.00 gamma=90.00
Element x y z (fractional)
Sr1 0.500 0.500 0.500
Zn1 0.500 0.000 0.000
Zn2 0.000 0.500 0.000
Al1 0.000 0.000 0.500
Co1 0.000 0.000 0.000

Computed properties:
- Spin magnetization: 0.0 μB per formula unit
- E_form: -0.20 eV/atom
- D(E_F): 0.347 states/eV per atom

=====

2.
DFT (PBE) results for a geometry-optimized SrZrAlCo2 structure.

Unit cell a=4.560 b=5.288 c=4.560 alpha=90.00 beta=90.00 gamma=90.00
Site moments in Bohr magnetons follow the coordinates.
Element x y z (fractional)
Zr1 0.500 0.500 0.500  -0.03
Co1 0.500 0.000 0.000  1.24
Co2 0.000 0.000 0.500  1.20
Sr1 0.000 0.000 0.000  -0.06
Al1 0.000 0.500 0.000  0.01

Computed properties:
- Spin magnetization: 2.3 μB per formula unit
- E_form: 1.66 eV/atom
- D(E_F): 1.380 states/eV per atom

=====

3.
DFT (PBE) results for a geometry-optimized TaAl2Co structure.

Unit cell a=2.935 b=4.592 c=5.553 alpha=53.01 beta=90.00 gamma=90.00
Site moments in Bohr magnetons follow the coordinates.
Element x y z (fractional)
Al1 0.000 0.000 0.000  0.00
Al2 0.500 0.500 0.000  0.01
Co1 0.500 0.500 0.500  0.84
Ta1 0.000 0.000 0.500  0.04

Computed properties:
- Spin magnetization: 0.9 μB per formula unit
- E_form: -0.11 eV/atom
- D(E_F): 0.716 states/eV per atom

=====

4.
DFT (PBE) results for a geometry-optimized TaAlCo2 structure.

Unit cell a=2.824 b=2.824 c=6.785 alpha=90.00 beta=90.00 gamma=90.00
Site moments in Bohr magnetons follow the coordinates.
Element x y z (fractional)
Co1 0.500 0.500 0.212  1.47
Co2 0.000 0.000 0.012  1.33
Al1 0.500 0.500 0.789  -0.01
Ta1 0.000 0.000 0.487  -0.03

Computed properties:
- Spin magnetization: 2.7 μB per formula unit
- E_form: -0.15 eV/atom
- D(E_F): 1.082 states/eV per atom